PrSmAs2: relaxed, GGA-PBE.

Cell: 4.2636 4.2636 20.8630 Å, 90.00 90.00 120.00°
Space group R-3m (No. 166, hexagonal axes)
One atom of each set of equivalent atoms:
Pr  0.0000  0.0000  0.0000
Sm  0.0000  0.0000  0.5000
As  0.0000  0.0000  0.2482

Results
Total energy = -74.55 eV per cell
E_form = -1.513 eV per atom
Excess energy over the best structure of this formula in the dataset = 0 meV/atom